(1)
## IrOsC2S (PBE)

Data for a geometry-optimized IrOsC2S structure.

Values from the calculation:
total energy: -6.7789 eV/atom
formation energy without anion corrections: 1.754 eV/atom
V: 15.8 A^3/atom

a b c (Å): 3.742 3.742 5.637
angles (deg): 90.00 90.00 90.00
Atoms (fractional coordinates):
Ir  0.000  0.000  0.000
Os  0.000  0.000  0.500
C  0.000  0.500  0.000
C  0.500  0.000  0.000
S  0.500  0.500  0.500



(2)
## NpNi4Pt (PBE)

Data for a geometry-optimized NpNi4Pt structure.

Values from the calculation:
formation enthalpy at 0 K: -27 kJ per mole of atoms
total energy: -7.2931 eV/atom
V: 13.7 A^3/atom

a b c (Å): 4.877 4.877 4.877
angles (deg): 60.00 60.00 60.00
Atoms (fractional coordinates):
Np  0.000  0.000  0.000
Ni  0.126  0.625  0.625
Ni  0.625  0.126  0.625
Ni  0.625  0.625  0.126
Ni  0.625  0.625  0.625
Pt  0.250  0.250  0.250